Density functional theory data (PBE) for a geometry-optimized Al2Ag structure.

Values from the calculation:
Space group: No. 2
Total energy, eV for the cell shown: -41.63

a b c (Å): 5.142 6.839 6.468
angles (deg): 109.71 72.72 90.10
Sites, in units of the cell vectors:
Al 0.911 0.587 0.753
Al 0.336 0.666 0.000
Al 0.572 0.915 0.746
Al 0.732 0.750 0.250
Al 0.685 0.333 0.000
Al 0.845 0.168 0.504
Al 0.505 0.497 0.497
Al 0.081 0.418 0.250
Ag 0.158 0.823 0.494
Ag 0.418 0.091 0.244
Ag 0.999 0.992 0.006
Ag 0.259 0.261 0.756